AsRuIO2 | PBE | optimized geometry

```
AsRuIO2
1.0
3.821 0.000 0.000
0.000 3.821 0.000
0.000 0.000 7.721
As O I Ru
1 2 1 1
direct
0.500 0.500 0.500
0.000 0.500 0.000
0.500 0.000 0.000
0.000 0.000 0.500
0.000 0.000 0.000
```

Its distance to the lowest polymorph of the same formula is 0.000 eV/atom. For the uncorrected formation energy, the calculation gives 0.01 eV per atom. As for the spin magnetization: 0.00 μB/cell. Its symmetry is P4/mmm.

***

Pr5Nd2Hg4 | PBE | optimized geometry

```
Pr5Nd2Hg4
1.0
3.706 0.000 0.000
0.000 8.329 0.000
-1.853 -4.164 11.572
Hg Pr Nd
4 5 2
direct
0.411 0.411 0.822
0.589 0.589 0.178
0.000 0.686 0.000
0.000 0.314 0.000
0.863 0.657 0.727
0.137 0.930 0.273
0.863 0.070 0.727
0.500 0.000 0.000
0.137 0.343 0.273
0.272 0.272 0.544
0.728 0.728 0.456
```

For the total energy, the calculation gives -0.2363 Ry per atom. As for the spin magnetization: 0.00 μB/cell. Its symmetry is Immm.

***

La2Tb7Cd2 | PBE | optimized geometry

```
La2Tb7Cd2
1.0
7.995 1.023 1.476
0.133 6.557 1.054
0.133 -1.316 6.510
Tb Cd La
7 2 2
direct
0.000 0.000 0.000
0.535 0.306 0.306
0.833 0.879 0.479
0.167 0.521 0.121
0.167 0.121 0.521
0.833 0.479 0.879
0.465 0.694 0.694
0.145 0.605 0.605
0.855 0.395 0.395
0.500 0.181 0.819
0.500 0.819 0.181
```

For the total energy, the calculation gives -0.2919 Ry per atom. As for the spin magnetization: 0.00 μB/cell. Its symmetry is C2/m.

***

LaHfTh2 | PBE | optimized geometry

```
LaHfTh2
1.0
3.510 0.000 0.000
0.000 3.510 0.000
0.000 0.000 9.836
Th Hf La
2 1 1
direct
0.000 0.000 0.770
0.000 0.000 0.230
0.500 0.500 0.000
0.500 0.500 0.500
```

Its distance to the lowest polymorph of the same formula is 0.000 eV/atom. As for the spin magnetization: 0.00 μB/cell. Its symmetry is P4/mmm.

***

BaCeSb2Au2 | PBE | optimized geometry

```
BaCeSb2Au2
1.0
4.738 0.000 0.000
-2.369 4.103 0.000
0.000 0.000 8.967
Sb Au Ce Ba
2 2 1 1
direct
0.667 0.333 0.261
0.333 0.667 0.739
0.667 0.333 0.690
0.333 0.667 0.310
0.000 0.000 0.500
0.000 0.000 0.000
```

For the uncorrected formation energy, the calculation gives -0.85 eV per atom. As for the spin magnetization: 1.14 μB/cell. Its symmetry is P-3m1.

***

CdReSe2 | PBE | optimized geometry

```
CdReSe2
1.0
2.174 -3.815 1.547
-2.059 -4.160 -0.362
1.621 -3.144 -3.027
Cd Re Se
1 1 2
direct
0.000 0.000 0.000
0.500 0.500 0.500
0.750 0.750 0.750
0.250 0.250 0.250
```

Its distance to the lowest polymorph of the same formula is 0.506 eV/atom. For the uncorrected formation energy, the calculation gives 0.51 eV per atom. As for the spin magnetization: 0.00 μB/cell. Its symmetry is Fm-3m.

***

Ta4FeW | PBE | optimized geometry

```
Ta4FeW
1.0
-3.275 -4.053 -1.226
-2.419 -2.760 3.897
-5.276 0.499 0.755
Ta Fe W
4 1 1
direct
0.376 0.376 0.376
0.376 0.376 0.872
0.376 0.872 0.376
0.872 0.376 0.376
0.000 0.000 0.000
0.750 0.750 0.750
```

Its distance to the lowest polymorph of the same formula is 0.089 eV/atom. As for the spin magnetization: 2.77 μB/cell. Its symmetry is F-43m.

***

AgMo2Cl | PBE | optimized geometry

```
AgMo2Cl
1.0
9.677 0.009 0.005
9.236 2.886 0.005
9.236 1.414 2.516
Mo Ag Cl
2 1 1
direct
0.256 0.256 0.256
0.004 0.004 0.004
0.505 0.505 0.505
0.735 0.735 0.735
```

Its distance to the lowest polymorph of the same formula is 0.046 eV/atom. For the uncorrected formation energy, the calculation gives 0.24 eV per atom. As for the spin magnetization: 0.00 μB/cell. Its symmetry is R3m.

***

KHg3Pb3 | PBE | optimized geometry

```
KHg3Pb3
1.0
5.551 0.000 0.000
0.000 8.200 -4.734
0.000 0.000 9.468
Hg K Pb
6 2 6
direct
0.250 0.608 0.516
0.250 0.908 0.392
0.750 0.516 0.908
0.750 0.392 0.484
0.250 0.484 0.092
0.750 0.092 0.608
0.750 0.667 0.333
0.250 0.333 0.667
0.750 0.779 0.788
0.250 0.991 0.779
0.750 0.212 0.991
0.250 0.788 0.009
0.250 0.221 0.212
0.750 0.009 0.221
```

Its distance to the lowest polymorph of the same formula is 0.000 eV/atom. As for the spin magnetization: 0.00 μB/cell. Its symmetry is P6_3/m.

***

RhWSCl2 | PBE | optimized geometry

```
RhWSCl2
1.0
-0.940 -2.616 3.854
1.894 -3.807 -2.122
4.162 1.092 1.756
S Cl W Rh
1 2 1 1
direct
0.000 0.000 0.500
0.500 0.000 0.000
0.000 0.500 0.000
0.000 0.000 0.000
0.500 0.500 0.500
```

Its distance to the lowest polymorph of the same formula is 0.000 eV/atom. For the uncorrected formation energy, the calculation gives 0.67 eV per atom. As for the spin magnetization: 0.16 μB/cell. Its symmetry is P4/mmm.

***

YCuAu2 | PBE | optimized geometry

```
YCuAu2
1.0
4.431 0.000 0.000
0.000 4.431 0.000
0.000 0.000 4.005
Cu Y Au
1 1 2
direct
0.500 0.000 0.500
0.000 0.500 0.500
0.500 0.500 0.000
0.000 0.000 0.000
```

Its distance to the lowest polymorph of the same formula is 0.211 eV/atom. As for the spin magnetization: 0.00 μB/cell. Its symmetry is P4/mmm.

***

La2Sm5Dy12 | PBE | optimized geometry

```
La2Sm5Dy12
1.0
-3.304 0.233 -8.719
-1.646 -11.124 5.316
-3.453 7.787 1.516
Dy Sm La
12 5 2
direct
0.026 0.694 0.938
0.183 0.746 0.402
0.331 0.306 0.062
0.915 0.829 0.708
0.817 0.254 0.598
0.974 0.306 0.062
0.085 0.171 0.292
0.562 0.746 0.402
0.441 0.882 0.215
0.669 0.694 0.938
0.559 0.118 0.785
0.438 0.254 0.598
0.298 0.596 0.610
0.702 0.404 0.390
0.770 0.539 0.113
0.000 0.000 0.500
0.230 0.461 0.887
0.319 0.000 0.000
0.681 0.000 0.000
```

Its distance to the lowest polymorph of the same formula is 0.052 eV/atom. As for the spin magnetization: 0.00 μB/cell. Its symmetry is C2/m.

***

RuPtW4 | PBE | optimized geometry

```
RuPtW4
1.0
4.048 -3.189 0.639
-0.633 -5.131 -0.496
2.021 -2.483 -4.089
Ru Pt W
1 1 4
direct
0.000 0.000 0.000
0.750 0.750 0.750
0.376 0.873 0.376
0.873 0.376 0.376
0.376 0.376 0.376
0.376 0.376 0.873
```

For the total energy, the calculation gives -0.7944 Ry per atom. As for the spin magnetization: 0.00 μB/cell. Its symmetry is F-43m.

***

MnCdOs2 | PBE | optimized geometry

```
MnCdOs2
1.0
-4.725 0.058 0.630
-2.048 -0.559 -4.269
3.400 -2.535 2.177
Os Cd Mn
2 1 1
direct
0.250 0.750 0.500
0.000 0.000 0.000
0.500 0.500 0.000
0.750 0.250 0.500
```

For the total energy, the calculation gives -0.5575 Ry per atom. As for the spin magnetization: 3.42 μB/cell. Its symmetry is I-4m2.

***

SrSOF2 | PBE | optimized geometry

```
SrSOF2
1.0
-2.948 0.682 3.517
1.903 -3.561 2.285
3.267 3.116 2.134
S F Sr O
1 2 1 1
direct
0.500 0.500 0.500
0.000 0.500 0.000
0.500 0.000 0.000
0.000 0.000 0.000
0.000 0.000 0.500
```

Its distance to the lowest polymorph of the same formula is 0.525 eV/atom. For the uncorrected formation energy, the calculation gives -1.07 eV per atom. As for the spin magnetization: 2.47 μB/cell. Its symmetry is P4/mmm.

***

Co3SiTc | PBE | optimized geometry

```
Co3SiTc
1.0
-2.406 -2.733 1.960
3.242 -2.525 0.459
0.894 1.803 3.612
Co Si Tc
3 1 1
direct
0.000 0.000 0.500
0.000 0.500 0.000
0.500 0.000 0.000
0.000 0.000 0.000
0.500 0.500 0.500
```

Its distance to the lowest polymorph of the same formula is 0.000 eV/atom. For the uncorrected formation energy, the calculation gives 0.78 eV per atom. As for the spin magnetization: 6.21 μB/cell. Its symmetry is Pm-3m.

***

Tb7Nd4Tm | PBE | optimized geometry

```
Tb7Nd4Tm
1.0
5.961 0.000 0.000
2.981 11.338 -0.330
2.981 0.157 6.053
Tb Nd Tm
7 4 1
direct
0.070 0.691 0.168
0.368 0.495 0.769
0.632 0.505 0.231
0.930 0.309 0.832
0.788 0.924 0.500
0.212 0.076 0.500
0.500 0.000 0.000
0.642 0.222 0.494
0.358 0.778 0.506
0.219 0.335 0.226
0.781 0.665 0.774
0.000 0.000 0.000
```

Its distance to the lowest polymorph of the same formula is 0.180 eV/atom. As for the spin magnetization: 0.00 μB/cell. Its symmetry is C2/m.

***

ZrHgSe4 | PBE | optimized geometry

```
ZrHgSe4
1.0
-3.206 -4.356 -1.930
-3.035 -3.187 3.689
-5.729 0.389 0.093
Se Hg Zr
4 1 1
direct
0.376 0.873 0.376
0.376 0.376 0.376
0.376 0.376 0.873
0.873 0.376 0.376
0.000 0.000 0.000
0.750 0.750 0.750
```

For the uncorrected formation energy, the calculation gives 0.34 eV per atom. As for the spin magnetization: 1.02 μB/cell. Its symmetry is F-43m.

***

AlHg2SeN | PBE | optimized geometry

```
AlHg2SeN
1.0
4.649 0.000 0.000
0.000 4.873 0.000
0.000 0.000 4.649
Se Al Hg N
1 1 2 1
direct
0.000 0.500 0.000
0.500 0.500 0.500
0.000 0.000 0.500
0.500 0.000 0.000
0.000 0.000 0.000
```

For the uncorrected formation energy, the calculation gives 0.82 eV per atom. As for the spin magnetization: 0.00 μB/cell. Its symmetry is P4/mmm.

***

LaP2SI | PBE | optimized geometry

```
LaP2SI
1.0
-2.714 -1.256 -5.152
5.286 -1.100 -2.517
-0.374 -5.090 1.438
La I P S
1 1 2 1
direct
0.000 0.000 0.000
0.500 0.500 0.500
0.000 0.500 0.000
0.500 0.000 0.000
0.000 0.000 0.500
```

Its distance to the lowest polymorph of the same formula is 0.283 eV/atom. For the uncorrected formation energy, the calculation gives 0.54 eV per atom. As for the spin magnetization: 3.03 μB/cell. Its symmetry is P4/mmm.